Record 1
Material: TlSiSnTe4
Method: DFT, PBE-GGA
State: optimized geometry

Results
The value obtained for the formation energy (no corrections) is -0.145 eV/atom. The calculation puts the total energy at -50.750 eV for the cell shown. Its density of states at the Fermi level is 0.21 states/eV/atom. As for the symmetry: P2_1/m, No. 11.

Cell: 7.732 6.608 9.948 Å, 90.00 106.89 90.00°
Element x y z (fractional)
Tl 0.244 0.250 0.067
Tl 0.756 0.750 0.933
Si 0.223 0.750 0.311
Si 0.777 0.250 0.689
Sn 0.279 0.250 0.567
Sn 0.721 0.750 0.433
Te 0.031 0.510 0.751
Te 0.031 0.990 0.751
Te 0.394 0.750 0.568
Te 0.429 0.750 0.156
Te 0.571 0.250 0.844
Te 0.606 0.250 0.432
Te 0.969 0.010 0.249
Te 0.969 0.490 0.249

Record 2
Material: YSiSn2Te
Method: DFT, PBE-GGA
State: optimized geometry

Results
The value obtained for the formation energy (no corrections) is 0.705 eV/atom. The calculation puts the total energy at -19.511 eV for the cell shown. Its density of states at the Fermi level is 0.72 states/eV/atom. As for the symmetry: P4/mmm, No. 123.

Cell: 5.770 5.770 5.619 Å, 90.00 90.00 90.00°
Element x y z (fractional)
Y 0.000 0.000 0.000
Si 0.500 0.500 0.000
Sn 0.000 0.500 0.500
Sn 0.500 0.000 0.500
Te 0.000 0.000 0.500

Record 3
Material: Th5Si2Sn
Method: DFT, PBE-GGA
State: optimized geometry

Results
The value obtained for the formation energy (no corrections) is -0.548 eV/atom. The calculation puts the total energy at -112.670 eV for the cell shown. Its density of states at the Fermi level is 1.08 states/eV/atom. As for the symmetry: I4/mcm, No. 140.

Cell: 9.076 9.076 9.076 Å, 128.55 128.55 75.74°
Element x y z (fractional)
Th 0.000 0.000 0.000
Th 0.024 0.524 0.828
Th 0.196 0.024 0.500
Th 0.304 0.804 0.828
Th 0.476 0.304 0.500
Th 0.500 0.500 0.000
Th 0.524 0.696 0.500
Th 0.696 0.196 0.172
Th 0.804 0.976 0.500
Th 0.976 0.476 0.172
Si 0.128 0.372 0.500
Si 0.372 0.872 0.243
Si 0.628 0.128 0.757
Si 0.872 0.628 0.500
Sn 0.250 0.250 0.000
Sn 0.750 0.750 0.000

Record 4
Material: ThSiSn2
Method: DFT, PBE-GGA
State: optimized geometry

Results
The value obtained for the formation energy (no corrections) is -0.336 eV/atom. The calculation puts the total energy at -22.193 eV for the cell shown. Its density of states at the Fermi level is 0.62 states/eV/atom. As for the symmetry: P4/mmm, No. 123.

Cell: 4.488 4.488 4.831 Å, 90.00 90.00 90.00°
Element x y z (fractional)
Th 0.000 0.000 0.000
Si 0.500 0.500 0.000
Sn 0.000 0.500 0.500
Sn 0.500 0.000 0.500

Record 5
Material: ThSi2Sn
Method: DFT, PBE-GGA
State: optimized geometry

Results
The value obtained for the formation energy (no corrections) is -0.298 eV/atom. The calculation puts the total energy at -23.462 eV for the cell shown. Its density of states at the Fermi level is 0.50 states/eV/atom. As for the symmetry: P4/mmm, No. 123.

Cell: 4.570 4.570 4.162 Å, 90.00 90.00 90.00°
Element x y z (fractional)
Th 0.000 0.000 0.000
Si 0.000 0.500 0.500
Si 0.500 0.000 0.500
Sn 0.500 0.500 0.000

Record 6
Material: Th4SiSn
Method: DFT, PBE-GGA
State: optimized geometry

Results
The value obtained for the formation energy (no corrections) is -0.482 eV/atom. The calculation puts the total energy at -83.996 eV for the cell shown. Its density of states at the Fermi level is 0.63 states/eV/atom. As for the symmetry: P4/mcc, No. 124.

Cell: 7.536 7.536 6.142 Å, 90.00 90.00 90.00°
Element x y z (fractional)
Th 0.151 0.327 0.000
Th 0.151 0.673 0.500
Th 0.327 0.151 0.500
Th 0.327 0.849 0.000
Th 0.673 0.151 0.000
Th 0.673 0.849 0.500
Th 0.849 0.327 0.500
Th 0.849 0.673 0.000
Si 0.000 0.000 0.250
Si 0.000 0.000 0.750
Sn 0.500 0.500 0.250
Sn 0.500 0.500 0.750

Record 7
Material: TiSi3Sn
Method: DFT, PBE-GGA
State: optimized geometry

Results
The value obtained for the formation energy (no corrections) is 1.522 eV/atom. The calculation puts the polymorph energy (0 for the lowest one) at 1003.6 meV/atom. The calculation puts the total energy at -20.556 eV for the cell shown. Its density of states at the Fermi level is 1.58 states/eV/atom. As for the symmetry: Pm-3m, No. 221.

Cell: 5.017 5.017 5.017 Å, 90.00 90.00 90.00°
Element x y z (fractional)
Ti 0.000 0.000 0.000
Si 0.000 0.500 0.500
Si 0.500 0.000 0.500
Si 0.500 0.500 0.000
Sn 0.500 0.500 0.500

Record 8
Material: TiSi3Sn
Method: DFT, PBE-GGA
State: optimized geometry

Results
The value obtained for the formation energy (no corrections) is 0.519 eV/atom. The calculation puts the polymorph energy (0 for the lowest one) at 0.0 meV/atom. The calculation puts the total energy at -25.574 eV for the cell shown. Its density of states at the Fermi level is 0.69 states/eV/atom. As for the symmetry: Pm-3m, No. 221.

Cell: 4.816 4.816 4.816 Å, 90.00 90.00 90.00°
Element x y z (fractional)
Ti 0.000 0.000 0.000
Si 0.000 0.000 0.500
Si 0.000 0.500 0.000
Si 0.500 0.000 0.000
Sn 0.500 0.500 0.500

Please write out number 7 again, unchanged.
Material: TiSi3Sn
Method: DFT, PBE-GGA
State: optimized geometry

Results
The value obtained for the formation energy (no corrections) is 1.522 eV/atom. The calculation puts the polymorph energy (0 for the lowest one) at 1003.6 meV/atom. The calculation puts the total energy at -20.556 eV for the cell shown. Its density of states at the Fermi level is 1.58 states/eV/atom. As for the symmetry: Pm-3m, No. 221.

Cell: 5.017 5.017 5.017 Å, 90.00 90.00 90.00°
Element x y z (fractional)
Ti 0.000 0.000 0.000
Si 0.000 0.500 0.500
Si 0.500 0.000 0.500
Si 0.500 0.500 0.000
Sn 0.500 0.500 0.500

What is the formation energy (no corrections) in the fifth record? -0.298 eV/atom